[1]
Compound: Ac2Ag6Au3
Source: Alexandria via LeMat-Bulk
Functional: PBE
Structure: optimized geometry

- Energy of formation from the pure elements: -3.68 eV/f.u.
- Space group: P-62m, No. 189
- N(E_F): 4.193 states/eV/cell

Cell lengths 8.1811, 8.1811, 4.4535 Å; angles 90.00, 90.00, 120.00 degrees
Last column: nearest neighbours and their distance in Å.
Fractional positions:
Ac (0.3333, 0.6667, 0.0000)  6 Au 3.33, 3 Ag 3.41
Ac (0.6667, 0.3333, 0.0000)  6 Au 3.33, 3 Ag 3.41
Ag (0.0000, 0.1989, 0.0000)  6 Ag 2.82-2.91, 2 Au 2.82
Ag (0.0000, 0.7505, 0.5000)  3 Au 2.78-2.93, 4 Ag 2.91
Ag (0.1989, 0.0000, 0.0000)  6 Ag 2.82-2.91, 2 Au 2.82
Ag (0.2495, 0.2495, 0.5000)  3 Au 2.78-2.93, 4 Ag 2.91
Ag (0.7505, 0.0000, 0.5000)  3 Au 2.78-2.93, 4 Ag 2.91
Ag (0.8011, 0.8011, 0.0000)  6 Ag 2.82-2.91, 2 Au 2.82
Au (0.0000, 0.4108, 0.5000)  5 Ag 2.78-2.93
Au (0.4108, 0.0000, 0.5000)  5 Ag 2.78-2.93
Au (0.5892, 0.5892, 0.5000)  5 Ag 2.78-2.93


[2]
Compound: CaAl2PBr
Source: Alexandria via LeMat-Bulk
Functional: PBE
Structure: optimized geometry

- Space group: P4/mmm, No. 123
- N(E_F): 3.951 states/eV/cell
- Raw formation energy: 0.845 eV/atom

Cell lengths 6.0047, 6.0047, 5.2420 Å; angles 90.00, 90.00, 90.00 degrees
Last column: nearest neighbours and their distance in Å.
Fractional positions:
Ca (0.0000, 0.0000, 0.0000)  2 Br 2.62
Al (0.0000, 0.5000, 0.0000)  2 Ca 3.00
Al (0.5000, 0.0000, 0.0000)  2 Ca 3.00
P (0.5000, 0.5000, 0.5000)  8 Al 3.99, 4 Br 4.25
Br (0.0000, 0.0000, 0.5000)  2 Ca 2.62


[3]
Compound: CaTiCo2Ir
Source: Alexandria via LeMat-Bulk
Functional: PBE
Structure: optimized geometry

- Energy of formation from the pure elements: 2.38 eV/f.u.
- Space group: P4/mmm, No. 123
- N(E_F): 6.179 states/eV/cell

Cell lengths 4.7681, 4.7681, 4.5600 Å; angles 90.00, 90.00, 90.00 degrees
Last column: nearest neighbours and their distance in Å.
Fractional positions:
Ca (0.0000, 0.0000, 0.0000)  8 Co 3.30, 4 Ti 3.37
Ti (0.5000, 0.5000, 0.0000)  2 Ir 2.28
Co (0.0000, 0.5000, 0.5000)  2 Ir 2.38
Co (0.5000, 0.0000, 0.5000)  2 Ir 2.38
Ir (0.5000, 0.5000, 0.5000)  2 Ti 2.28, 4 Co 2.38


[4]
Compound: Li2BeIr
Source: Alexandria via LeMat-Bulk
Functional: PBE
Structure: optimized geometry

- Energy of formation from the pure elements: -0.14 eV/f.u.
- Space group: Pmmm, No. 47
- N(E_F): 1.412 states/eV/cell

Cell lengths 2.5448, 4.2177, 4.6491 Å; angles 90.00, 90.00, 90.00 degrees
Last column: nearest neighbours and their distance in Å.
Fractional positions:
Li (0.0000, 0.0000, 0.2446)  4 Li 2.27-2.54
Li (0.0000, 0.0000, 0.7554)  4 Li 2.27-2.54
Be (0.5000, 0.5000, 0.5000)  2 Ir 2.32, 2 Be 2.54
Ir (0.5000, 0.5000, 0.0000)  2 Be 2.32, 2 Ir 2.54


[5]
Compound: Dy2CuPd4
Source: Alexandria via LeMat-Bulk
Functional: PBE
Structure: optimized geometry

- Energy of formation from the pure elements: -3.89 eV/f.u.
- Space group: P-1, No. 2
- N(E_F): 2.292 states/eV/cell

Cell lengths 4.9453, 4.9705, 7.0539 Å; angles 70.51, 80.80, 65.95 degrees
Last column: nearest neighbours and their distance in Å.
Fractional positions:
Dy (0.0061, 0.1391, 0.2264)  8 Pd 2.89-3.13, 1 Cu 3.21
Dy (0.9939, 0.8609, 0.7736)  8 Pd 2.89-3.13, 1 Cu 3.21
Cu (0.5000, 0.5000, 0.5000)  6 Pd 2.47-2.63
Pd (0.0000, 0.5000, 0.5000)  2 Cu 2.47, 4 Pd 2.70-2.75
Pd (0.3260, 0.1885, 0.8431)  1 Cu 2.63, 3 Pd 2.68-2.77, 2 Dy 2.89-2.93
Pd (0.5000, 0.0000, 0.5000)  2 Cu 2.49, 4 Pd 2.70-2.77
Pd (0.6740, 0.8115, 0.1569)  1 Cu 2.63, 3 Pd 2.68-2.77, 2 Dy 2.89-2.93


[6]
Compound: VSn3
Source: Alexandria via LeMat-Bulk
Functional: PBE
Structure: optimized geometry

- Energy of formation from the pure elements: 1.31 eV/f.u.
- Space group: Pmm2, No. 25
- N(E_F): 3.410 states/eV/cell

Cell lengths 3.5953, 5.1689, 5.0493 Å; angles 90.00, 90.00, 90.00 degrees
Last column: nearest neighbours and their distance in Å.
Fractional positions:
V (0.0000, 0.0000, 0.0000)  10 Sn 2.99-3.25
Sn (0.0000, 0.5000, 0.3259)  8 Sn 3.05-3.23, 2 V 3.06
Sn (0.5000, 0.0000, 0.4733)  4 V 2.99-3.21, 6 Sn 3.18-3.23
Sn (0.5000, 0.5000, 0.8390)  6 Sn 3.05-3.18, 4 V 3.25